1.
Li15Zn4Cd | PBE | optimized geometry

Values from the calculation:
**Size of the total moment**: 0.0 μB per formula unit
**DFT total energy**: -36.9 eV per cell
**V**: 339 Å³/cell

Cell: 4.2615 4.2615 18.6531 Å, 90.00 90.00 90.00°
Last column: nearest neighbours and their distance in Å.
Space group P4/mmm (No. 123)
One atom of each set of equivalent atoms:
Li (0.0000, 0.0000, 0.0000) [1 per cell]  8 Li 2.93, 4 Cd 3.01
Li (0.0000, 0.0000, 0.2060) [2 per cell]  8 Li 2.80-2.81, 4 Zn 3.01
Li (0.0000, 0.0000, 0.4017) [2 per cell]  8 Li 2.81, 4 Zn 3.01
Li (0.0000, 0.5000, 0.1075) [4 per cell]  8 Li 2.81-3.01, 2 Zn 2.82, 2 Cd 2.93
Li (0.0000, 0.5000, 0.3037) [4 per cell]  4 Zn 2.80, 8 Li 2.80-3.01
Li (0.0000, 0.5000, 0.5000) [2 per cell]  8 Li 2.81-3.01, 4 Zn 2.81
Zn (0.5000, 0.5000, 0.2061) [2 per cell]  12 Li 2.80-3.01
Zn (0.5000, 0.5000, 0.4014) [2 per cell]  12 Li 2.80-3.01
Cd (0.5000, 0.5000, 0.0000) [1 per cell]  12 Li 2.93-3.01



2.
LiZnCd | PBE | optimized geometry

Values from the calculation:
**Size of the total moment**: 0.0 μB per formula unit
**DFT total energy**: -4.5 eV per cell
**V**: 53 Å³/cell

Cell: 4.6222 4.6222 2.8603 Å, 90.00 90.00 120.00°
Last column: nearest neighbours and their distance in Å.
Space group P3m1 (No. 156)
One atom of each set of equivalent atoms:
Li (0.0000, 0.0000, 0.0000) [1 per cell]  3 Zn 2.85, 2 Li 2.86, 6 Cd 2.92-3.15
Zn (0.6667, 0.3333, 0.3531) [1 per cell]  3 Cd 2.75, 3 Li 2.85, 2 Zn 2.86
Cd (0.3333, 0.6667, 0.5877) [1 per cell]  3 Zn 2.75, 2 Cd 2.86, 3 Li 2.92



3.
Li7Zn2Cd3 | PBE | optimized geometry

Values from the calculation:
**Size of the total moment**: 0.0 μB per formula unit
**DFT total energy**: -20.2 eV per cell
**V**: 215 Å³/cell

Cell: 4.6466 2.9542 15.7856 Å, 90.00 97.39 90.00°
Last column: nearest neighbours and their distance in Å.
Space group P2/m (No. 10)
One atom of each set of equivalent atoms:
Li (0.0000, 0.0000, 0.0000) [1 per cell]  4 Cd 2.75, 2 Li 2.95
Li (0.1201, 0.5000, 0.1930) [2 per cell]  2 Zn 2.75-2.76, 6 Li 2.85-2.95
Li (0.2687, 0.5000, 0.5429) [2 per cell]  1 Zn 2.66, 4 Li 2.68-2.95
Li (0.3999, 0.0000, 0.8538) [2 per cell]  2 Zn 2.66, 2 Cd 2.73, 6 Li 2.85-2.95
Zn (0.3400, 0.5000, 0.7126) [2 per cell]  5 Li 2.66-2.76, 2 Zn 2.95
Cd (0.1955, 0.0000, 0.3706) [2 per cell]  2 Cd 2.95, 4 Zn 3.04-3.05, 8 Li 3.06-3.15
Cd (0.5000, 0.5000, 0.0000) [1 per cell]  8 Li 2.73-2.75, 2 Cd 2.95



Copy entry 3 word for word.
Li7Zn2Cd3 | PBE | optimized geometry

Values from the calculation:
**Size of the total moment**: 0.0 μB per formula unit
**DFT total energy**: -20.2 eV per cell
**V**: 215 Å³/cell

Cell: 4.6466 2.9542 15.7856 Å, 90.00 97.39 90.00°
Last column: nearest neighbours and their distance in Å.
Space group P2/m (No. 10)
One atom of each set of equivalent atoms:
Li (0.0000, 0.0000, 0.0000) [1 per cell]  4 Cd 2.75, 2 Li 2.95
Li (0.1201, 0.5000, 0.1930) [2 per cell]  2 Zn 2.75-2.76, 6 Li 2.85-2.95
Li (0.2687, 0.5000, 0.5429) [2 per cell]  1 Zn 2.66, 4 Li 2.68-2.95
Li (0.3999, 0.0000, 0.8538) [2 per cell]  2 Zn 2.66, 2 Cd 2.73, 6 Li 2.85-2.95
Zn (0.3400, 0.5000, 0.7126) [2 per cell]  5 Li 2.66-2.76, 2 Zn 2.95
Cd (0.1955, 0.0000, 0.3706) [2 per cell]  2 Cd 2.95, 4 Zn 3.04-3.05, 8 Li 3.06-3.15
Cd (0.5000, 0.5000, 0.0000) [1 per cell]  8 Li 2.73-2.75, 2 Cd 2.95